Record 1
A plane-wave DFT calculation with PBE was carried out for a relaxed structure of KTlRhPb.

```
KTlRhPb
1.0
-0.700 -3.257 1.044
3.416 -0.619 0.360
-0.367 2.661 8.059
K Pb Rh Tl
1 1 1 1
Cartesian
1.037 0.390 7.752
-0.070 0.511 1.546
1.223 -0.960 3.664
-0.209 1.517 4.592
```

Results
- Formation energy from the elements: -0.050 eV/atom
- Magnetic moment: 0.00 μB/f.u.
- N(E_F): 2.49 states/eV/cell
- ΔE to the lowest computed polymorph: 0.00 eV per formula unit



Record 2
A plane-wave DFT calculation with PBE was carried out for a relaxed structure of KTlRhPb.

```
KTlRhPb
1.0
-0.682 -2.665 2.568
2.891 -2.155 -1.468
10.883 7.402 10.571
K Rh Tl Pb
2 2 2 2
Cartesian
9.209 3.103 8.422
2.322 0.479 3.871
4.640 3.156 4.507
11.527 5.780 9.059
6.404 4.356 6.221
2.409 -0.422 0.202
5.798 0.783 5.109
9.794 5.561 11.129
```

Results
- Formation energy from the elements: 0.024 eV/atom
- Magnetic moment: 0.00 μB/f.u.
- N(E_F): 4.19 states/eV/cell
- ΔE to the lowest computed polymorph: 0.29 eV per formula unit



Record 3
A plane-wave DFT calculation with PBE was carried out for a relaxed structure of KTlRhPb.

```
KTlRhPb
1.0
-2.086 2.177 -1.252
-5.733 0.186 9.878
5.581 2.372 3.194
Rh K Pb Tl
2 2 2 2
Cartesian
-3.593 0.117 6.192
2.063 1.210 2.850
-0.769 1.302 7.730
-0.693 0.022 1.194
-5.737 1.241 7.463
-0.080 2.334 4.121
-3.504 1.168 3.615
-3.580 2.447 10.151
```

Results
- Formation energy from the elements: 0.066 eV/atom
- Magnetic moment: 0.00 μB/f.u.
- N(E_F): 4.98 states/eV/cell
- ΔE to the lowest computed polymorph: 0.46 eV per formula unit



Record 4
A plane-wave DFT calculation with PBE was carried out for a relaxed structure of KTlRhPb.

```
KTlRhPb
1.0
3.721 0.000 0.000
0.000 3.721 0.000
0.000 0.000 8.247
K Pb Tl Rh
1 1 1 1
Cartesian
1.861 1.861 7.433
1.861 1.861 2.628
0.000 0.000 4.731
0.000 0.000 1.737
```

Results
- Formation energy from the elements: 0.046 eV/atom
- Magnetic moment: 0.00 μB/f.u.
- N(E_F): 3.09 states/eV/cell
- ΔE to the lowest computed polymorph: 0.38 eV per formula unit